This record from Alexandria describes crystalline Ac2Ni3Sn4Ir at its relaxed geometry. The functional is PBE.

Results
Energy relative to the elements: -513 kJ/mol of formula units
Total energy: -55.7 eV per cell
Space group: P-4m2 (115)

abc: 4.5828 4.5828 10.5040
angles: 90.00 90.00 90.00
Positions (direct):
Sn (0.0000, 0.5000, 0.3716)
Sn (0.5000, 0.0000, 0.6284)
Sn (0.0000, 0.0000, 0.0000)
Sn (0.5000, 0.5000, 0.0000)
Ac (0.5000, 0.0000, 0.2570)
Ac (0.0000, 0.5000, 0.7430)
Ni (0.5000, 0.0000, 0.8742)
Ni (0.0000, 0.5000, 0.1258)
Ni (0.0000, 0.0000, 0.5000)
Ir (0.5000, 0.5000, 0.5000)